Record 1
Below is SiSn2I after structural relaxation, with properties calculated at the GGA-PBE level.

Cell and atoms, written as POSCAR:
```
SiSn2I
1.0
0.000 3.766 3.766
3.766 0.000 3.766
3.766 3.766 0.000
Si Sn I
1 2 1
direct
0.000 0.000 0.000 Si
0.250 0.250 0.250 Sn
0.750 0.750 0.750 Sn
0.500 0.500 0.500 I
```

Its symmetry is Fm-3m. Its uncorrected formation energy is 0.436 eV/atom. The excess energy over the best structure of this formula in the dataset is 127.1 meV per atom.

Record 2
Below is Cu6Pt8Rh after structural relaxation, with properties calculated at the GGA-PBE level.

Cell and atoms, written as POSCAR:
```
Cu6Pt8Rh
1.0
2.762 0.000 0.000
0.000 9.619 0.000
0.000 -4.810 8.331
Pt Rh Cu
8 1 6
direct
0.229 0.299 0.081 Pt
0.239 0.333 0.667 Pt
0.229 0.782 0.701 Pt
0.761 0.667 0.333 Pt
0.771 0.218 0.299 Pt
0.229 0.919 0.218 Pt
0.771 0.081 0.782 Pt
0.771 0.701 0.919 Pt
0.500 0.000 0.000 Rh
0.260 0.908 0.522 Cu
0.740 0.092 0.478 Cu
0.740 0.522 0.613 Cu
0.740 0.387 0.908 Cu
0.260 0.478 0.387 Cu
0.260 0.613 0.092 Cu
```

Its symmetry is P-3. As for the formation energy: 0.115 eV per atom.

Record 3
Below is Ta3GeH after structural relaxation, with properties calculated at the GGA-PBE level.

Cell and atoms, written as POSCAR:
```
Ta3GeH
1.0
4.145 0.000 0.000
0.000 4.145 0.000
0.000 0.000 4.145
Ta Ge H
3 1 1
direct
0.500 0.000 0.000 Ta
0.000 0.500 0.000 Ta
0.000 0.000 0.500 Ta
0.500 0.500 0.500 Ge
0.000 0.000 0.000 H
```

Its symmetry is Pm-3m. The excess energy over the best structure of this formula in the dataset is 0.0 meV per atom.

Record 4
Below is NbCuHg after structural relaxation, with properties calculated at the GGA-PBE level.

Cell and atoms, written as POSCAR:
```
NbCuHg
1.0
-4.238 1.451 -0.431
-3.419 -2.625 1.291
-2.288 2.082 6.012
Cu Nb Hg
2 2 2
direct
0.569 0.569 0.292 Cu
0.431 0.431 0.708 Cu
0.708 0.708 0.877 Nb
0.292 0.292 0.123 Nb
0.119 0.119 0.644 Hg
0.881 0.881 0.356 Hg
```

Its symmetry is R-3m. As for the formation energy: 0.422 eV per atom. The excess energy over the best structure of this formula in the dataset is 251.1 meV per atom.

| no. | magnetization (μB per atom) | N(E_F) (states/eV/cell) |
| --- | --- | --- |
| 1 | 0.000 | 3.31 |
| 2 | 0.000 | 20.26 |
| 3 | 0.000 | 0.33 |
| 4 | 0.000 | 4.65 |